# 1
DFT (PBE) results for SrZrH2Pt after structural relaxation.

Calculated values
Total DFT energy (no corrections): -4.25 eV/atom
Space-group type: P4/mmm (123)

abc: 4.031 6.998 4.031
angles: 90.00 90.00 90.00
Each line ends with the local moment (μB).
Positions (direct):
1 Sr 0.000 0.500 0.000  0.07
2 Zr 0.000 0.000 0.000  0.94
3 Pt 0.500 0.500 0.500  0.02
4 H 0.000 0.000 0.500  -0.01
5 H 0.500 0.000 0.000  0.00

=====

# 2
DFT (PBE) results for CaAgW2 after structural relaxation.

Calculated values
Total DFT energy (no corrections): -7.04 eV/atom
Energy relative to the elements: 0.6526 eV per atom
Space-group type: Immm (71)
Energy above the most stable polymorph in this dataset: 0.679 eV per formula unit

abc: 6.076 6.076 4.644
angles: 67.50 67.50 28.79
Positions (direct):
1 Ca 0.250 0.250 0.250
2 Ag 0.750 0.750 0.750
3 W 0.019 0.019 0.981
4 W 0.481 0.481 0.519

=====

> The lowest total DFT energy (no corrections) belongs to which entry?

CaAgW2

=====

> Which value of total DFT energy (no corrections) does entry 2 give?

-7.04 eV/atom

=====

> What is the formula in the first record?

SrZrH2Pt

=====

> What is the formula in the second record?

CaAgW2